## one
{"formula": "BaSnSb2Te", "functional": "PBE", "state": "relaxed", "lattice": [[5.705, 0.000, 0.000], [0.000, 5.705, 0.000], [0.000, 0.000, 5.893]], "species": ["Ba", "Sn", "Sb", "Sb", "Te"], "fractional_positions": [[0.000, 0.000, 0.000], [0.500, 0.500, 0.500], [0.000, 0.500, 0.500], [0.500, 0.000, 0.500], [0.500, 0.500, 0.000]], "spacegroup": "No. 123", "magnetic_moment_mub_per_fu": 0.000}

---

## two
{"formula": "BaSnSb2Te", "functional": "PBE", "state": "relaxed", "lattice": [[6.172, 0.000, 0.000], [0.000, 6.172, 0.000], [0.000, 0.000, 6.307]], "species": ["Ba", "Sn", "Sb", "Sb", "Te"], "fractional_positions": [[0.000, 0.000, 0.000], [0.500, 0.500, 0.500], [0.000, 0.500, 0.000], [0.500, 0.000, 0.000], [0.000, 0.000, 0.500]], "spacegroup": "No. 123", "magnetic_moment_mub_per_fu": 0.000}

---

Most stable structure: one

---

## one
{"formula": "BaSrSbTe2", "functional": "PBE", "state": "relaxed", "lattice": [[6.344, 0.000, 0.000], [0.000, 6.344, 0.000], [0.000, 0.000, 6.109]], "species": ["Ba", "Sr", "Sb", "Te", "Te"], "fractional_positions": [[0.000, 0.000, 0.000], [0.500, 0.500, 0.500], [0.000, 0.000, 0.500], [0.000, 0.500, 0.000], [0.500, 0.000, 0.000]], "spacegroup": "No. 123", "magnetic_moment_mub_per_fu": 0.000}

---

## two
{"formula": "BaSrSbTe2", "functional": "PBE", "state": "relaxed", "lattice": [[6.127, 0.000, 0.000], [0.000, 6.127, 0.000], [0.000, 0.000, 5.945]], "species": ["Ba", "Sr", "Sb", "Te", "Te"], "fractional_positions": [[0.000, 0.000, 0.000], [0.500, 0.500, 0.500], [0.500, 0.500, 0.000], [0.000, 0.500, 0.500], [0.500, 0.000, 0.500]], "spacegroup": "No. 123", "magnetic_moment_mub_per_fu": 0.000}

---

Most stable structure: two